Entry 1:
Here is FeNiPdRh after structural relaxation from Alexandria via LeMat-Bulk. Energies are from PBE.

Cell and atoms, written as CIF:
```
data_FeNiPdRh
_chemical_formula_sum 'Fe1 Ni1 Pd1 Rh1'
_space_group_name_H-M_alt 'P m m m'
_space_group_IT_number 47
_space_group_name_Hall '-P 2 2'
_cell_length_a 3.629
_cell_length_b 3.799
_cell_length_c 3.884
_cell_angle_alpha 90.00
_cell_angle_beta 90.00
_cell_angle_gamma 90.00
loop_
_atom_site_label
_atom_site_fract_x
_atom_site_fract_y
_atom_site_fract_z
Fe1 0.000 0.000 0.000
Ni1 0.000 0.500 0.500
Pd1 0.500 0.000 0.500
Rh1 0.500 0.500 0.000
```

Calculated values
The formation energy comes out at -39 meV/atom. As for the energy above the lowest structure with this stoichiometry: 0.000 kcal/mol of atoms. As for the density: 10.042 g/cm³. The total magnetization comes out at 5.05 μB/cell.


Entry 2:
Here is CaTa2Tl after structural relaxation from Alexandria via LeMat-Bulk. Energies are from PBE.

Cell and atoms, written as CIF:
```
data_CaTa2Tl
_chemical_formula_sum 'Ca2 Ta4 Tl2'
_space_group_name_H-M_alt 'I m m 2'
_space_group_IT_number 44
_space_group_name_Hall 'I 2 -2'
_cell_length_a 3.276
_cell_length_b 5.416
_cell_length_c 10.406
_cell_angle_alpha 90.00
_cell_angle_beta 90.00
_cell_angle_gamma 90.00
loop_
_atom_site_label
_atom_site_fract_x
_atom_site_fract_y
_atom_site_fract_z
Ca1 0.000 0.000 0.000
Ta1 0.000 0.000 0.521
Ta2 0.000 0.500 0.222
Tl1 0.000 0.500 0.775
```

Calculated values
The formation energy comes out at 594 meV/atom. As for the energy above the lowest structure with this stoichiometry: 7.506 kcal/mol of atoms. As for the density: 10.906 g/cm³. The total magnetization comes out at 0.00 μB/cell.


Entry 3:
Here is Rb2In5Sn3 after structural relaxation from Alexandria via LeMat-Bulk. Energies are from PBE.

Cell and atoms, written as CIF:
```
data_Rb2In5Sn3
_chemical_formula_sum 'Rb8 In20 Sn12'
_space_group_name_H-M_alt 'I b a m'
_space_group_IT_number 72
_space_group_name_Hall '-I 2 2c'
_cell_length_a 12.124
_cell_length_b 14.956
_cell_length_c 7.301
_cell_angle_alpha 90.00
_cell_angle_beta 90.00
_cell_angle_gamma 90.00
loop_
_atom_site_label
_atom_site_fract_x
_atom_site_fract_y
_atom_site_fract_z
Rb1 0.247 0.125 0.000
In1 0.000 0.255 0.250
In2 0.000 0.500 0.250
In3 0.125 0.127 0.500
Sn1 0.000 0.000 0.250
Sn2 0.133 0.378 0.000
```

Calculated values
The formation energy comes out at -157 meV/atom. As for the energy above the lowest structure with this stoichiometry: 0.000 kcal/mol of atoms. As for the density: 5.525 g/cm³. The total magnetization comes out at 0.00 μB/cell.


Entry 4:
Here is Tl2SiBr after structural relaxation from Alexandria via LeMat-Bulk. Energies are from PBE.

Cell and atoms, written as CIF:
```
data_Tl2SiBr
_chemical_formula_sum 'Tl4 Si2 Br2'
_space_group_name_H-M_alt 'C m m 2'
_space_group_IT_number 35
_space_group_name_Hall 'C 2 -2'
_cell_length_a 3.540
_cell_length_b 6.112
_cell_length_c 10.172
_cell_angle_alpha 90.00
_cell_angle_beta 90.00
_cell_angle_gamma 90.00
loop_
_atom_site_label
_atom_site_fract_x
_atom_site_fract_y
_atom_site_fract_z
Tl1 0.000 0.000 0.000
Tl2 0.000 0.500 0.283
Si1 0.000 0.500 0.769
Br1 0.000 0.000 0.571
```

Calculated values
As for the energy above the lowest structure with this stoichiometry: 3.840 kcal/mol of atoms. As for the density: 7.797 g/cm³. The total magnetization comes out at 0.00 μB/cell. The formation energy from raw total energies comes out at 0.2280 eV/atom.


Entry 5:
Here is CaCoC after structural relaxation from Alexandria via LeMat-Bulk. Energies are from PBE.

Cell and atoms, written as CIF:
```
data_CaCoC
_chemical_formula_sum 'Ca4 Co4 C4'
_space_group_name_H-M_alt 'C 1 2 1'
_space_group_IT_number 5
_space_group_name_Hall 'C 2y'
_cell_length_a 5.790
_cell_length_b 5.538
_cell_length_c 6.229
_cell_angle_alpha 90.00
_cell_angle_beta 99.64
_cell_angle_gamma 90.00
loop_
_atom_site_label
_atom_site_fract_x
_atom_site_fract_y
_atom_site_fract_z
Ca1 0.209 0.000 0.309
Co1 0.187 0.490 0.122
C1 0.091 0.762 0.938
```

Calculated values
The formation energy comes out at 151 meV/atom. As for the energy above the lowest structure with this stoichiometry: 6.419 kcal/mol of atoms. As for the density: 3.745 g/cm³. The total magnetization comes out at 0.00 μB/cell.


Entry 6:
Here is Ca3TaZn after structural relaxation from Alexandria via LeMat-Bulk. Energies are from PBE.

Cell and atoms, written as CIF:
```
data_Ca3TaZn
_chemical_formula_sum 'Ca3 Ta1 Zn1'
_space_group_name_H-M_alt 'P m -3 m'
_space_group_IT_number 221
_space_group_name_Hall '-P 4 2 3'
_cell_length_a 5.533
_cell_length_b 5.533
_cell_length_c 5.533
_cell_angle_alpha 90.00
_cell_angle_beta 90.00
_cell_angle_gamma 90.00
loop_
_atom_site_label
_atom_site_fract_x
_atom_site_fract_y
_atom_site_fract_z
Ca1 0.000 0.000 0.500
Ta1 0.500 0.500 0.500
Zn1 0.000 0.000 0.000
```

Calculated values
The formation energy comes out at 916 meV/atom. As for the energy above the lowest structure with this stoichiometry: 0.000 kcal/mol of atoms. As for the density: 3.593 g/cm³. The total magnetization comes out at 3.28 μB/cell.